[1]
## NaThPb2 (GGA-PBE)

Data for a relaxed structure of NaThPb2.

a b c (Å): 5.834 5.834 3.518
angles (deg): 90.00 90.00 90.00
Positions (direct):
Na 0.000 0.000 0.000
Th 0.500 0.500 0.000
Pb 0.000 0.500 0.500
Pb 0.500 0.000 0.500

Results
Relative energy among the computed polymorphs, eV/atom: 0.007
ΔH_f (0 K), eV/atom: -0.215

[2]
## MgPSe2 (GGA-PBE)

Data for a relaxed structure of MgPSe2.

a b c (Å): 4.777 4.777 4.777
angles (deg): 60.00 60.00 60.00
Positions (direct):
Mg 0.000 0.000 0.000
P 0.250 0.250 0.250
Se 0.500 0.500 0.500
Se 0.750 0.750 0.750

Results
Relative energy among the computed polymorphs, eV/atom: 0.708
Energy relative to the elements, uncorrected, kJ/mol of atoms: 28

[3]
## BaMnW (GGA-PBE)

Data for a relaxed structure of BaMnW.

a b c (Å): 6.745 6.745 6.745
angles (deg): 151.94 151.94 40.11
Positions (direct):
Ba 0.000 0.000 0.000
Mn 0.285 0.285 0.000
W 0.723 0.723 0.000

Results
Relative energy among the computed polymorphs, eV/atom: 0.000
ΔH_f (0 K), eV/atom: 0.843

[4]
## Li3MgC (GGA-PBE)

Data for a relaxed structure of Li3MgC.

a b c (Å): 4.125 4.125 4.125
angles (deg): 90.00 90.00 90.00
Positions (direct):
Li 0.000 0.000 0.500
Li 0.000 0.500 0.000
Li 0.500 0.000 0.000
Mg 0.500 0.500 0.500
C 0.000 0.000 0.000

Results
Relative energy among the computed polymorphs, eV/atom: 0.000
ΔH_f (0 K), eV/atom: 0.412

[5]
## Ac4NdSm3S8 (GGA-PBE)

Data for a relaxed structure of Ac4NdSm3S8.

a b c (Å): 8.361 8.361 8.361
angles (deg): 59.50 59.50 59.50
Positions (direct):
Ac 0.000 0.000 0.000
Ac 0.000 0.500 0.500
Ac 0.500 0.000 0.500
Ac 0.500 0.500 0.000
Nd 0.500 0.500 0.500
Sm 0.000 0.000 0.500
Sm 0.000 0.500 0.000
Sm 0.500 0.000 0.000
S 0.241 0.745 0.745
S 0.243 0.243 0.243
S 0.255 0.255 0.759
S 0.255 0.759 0.255
S 0.745 0.241 0.745
S 0.745 0.745 0.241
S 0.757 0.757 0.757
S 0.759 0.255 0.255

Results
Energy relative to the elements, uncorrected, kJ/mol of atoms: -193

[6]
## Ca2HIr (GGA-PBE)

Data for a relaxed structure of Ca2HIr.

a b c (Å): 3.270 3.270 7.105
angles (deg): 90.00 90.00 90.00
Positions (direct):
Ca 0.000 0.000 0.247
Ca 0.000 0.000 0.753
H 0.500 0.500 0.500
Ir 0.500 0.500 0.000

Results
Relative energy among the computed polymorphs, eV/atom: 0.000

[7]
## Sr3PrPt8 (GGA-PBE)

Data for a relaxed structure of Sr3PrPt8.

a b c (Å): 9.618 9.618 9.618
angles (deg): 33.66 33.66 33.66
Positions (direct):
Sr 0.000 0.000 0.000
Sr 0.124 0.124 0.124
Sr 0.627 0.627 0.627
Pr 0.501 0.501 0.501
Pt 0.063 0.063 0.560
Pt 0.063 0.560 0.063
Pt 0.066 0.563 0.563
Pt 0.313 0.313 0.313
Pt 0.560 0.063 0.063
Pt 0.563 0.066 0.563
Pt 0.563 0.563 0.066
Pt 0.813 0.813 0.813

Results
ΔH_f (0 K), eV/atom: -0.911

[8]
## Li3MgNp3S8 (GGA-PBE)

Data for a relaxed structure of Li3MgNp3S8.

a b c (Å): 7.615 7.615 7.589
angles (deg): 118.45 118.45 61.38
Positions (direct):
Li 0.000 0.000 0.000
Li 0.000 0.500 0.500
Li 0.500 0.000 0.500
Mg 0.000 0.000 0.500
Np 0.000 0.500 0.000
Np 0.500 0.000 0.000
Np 0.500 0.500 0.500
S 0.242 0.755 0.257
S 0.244 0.244 0.749
S 0.245 0.758 0.743
S 0.248 0.248 0.252
S 0.752 0.752 0.748
S 0.755 0.242 0.257
S 0.756 0.756 0.251
S 0.758 0.245 0.743

Results
Energy relative to the elements, uncorrected, kJ/mol of atoms: -125

[9]
## Fe2Ni3Pd4 (GGA-PBE)

Data for a relaxed structure of Fe2Ni3Pd4.

a b c (Å): 6.989 6.989 7.204
angles (deg): 115.00 115.00 22.24
Positions (direct):
Fe 0.168 0.168 0.491
Fe 0.832 0.832 0.509
Ni 0.352 0.352 0.818
Ni 0.500 0.500 0.500
Ni 0.648 0.648 0.182
Pd 0.018 0.018 0.829
Pd 0.310 0.310 0.182
Pd 0.690 0.690 0.818
Pd 0.982 0.982 0.171

Results
ΔH_f (0 K), eV/atom: -0.011

[10]
## Rb3Sn9Pb2 (GGA-PBE)

Data for a relaxed structure of Rb3Sn9Pb2.

a b c (Å): 9.959 9.959 9.959
angles (deg): 149.00 108.75 79.71
Positions (direct):
Rb 0.000 0.000 0.000
Rb 0.300 0.300 0.000
Rb 0.700 0.700 0.000
Sn 0.021 0.658 0.363
Sn 0.126 0.849 0.277
Sn 0.295 0.658 0.637
Sn 0.427 0.151 0.277
Sn 0.500 0.000 0.500
Sn 0.573 0.849 0.723
Sn 0.705 0.342 0.363
Sn 0.874 0.151 0.723
Sn 0.979 0.342 0.637
Pb 0.312 0.500 0.812
Pb 0.688 0.500 0.188

Results
ΔH_f (0 K), eV/atom: -0.109

[11]
## SrCaMnBi2 (GGA-PBE)

Data for a relaxed structure of SrCaMnBi2.

a b c (Å): 5.749 5.749 6.069
angles (deg): 90.00 90.00 90.00
Positions (direct):
Sr 0.000 0.000 0.000
Ca 0.000 0.000 0.500
Mn 0.500 0.500 0.000
Bi 0.000 0.500 0.500
Bi 0.500 0.000 0.500

Results
ΔH_f (0 K), eV/atom: 1.282

[12]
## K3Li2CuF8 (GGA-PBE)

Data for a relaxed structure of K3Li2CuF8.

a b c (Å): 5.696 5.696 7.461
angles (deg): 90.00 90.00 120.00
Positions (direct):
K 0.000 0.000 0.000
K 0.333 0.667 0.665
K 0.667 0.333 0.335
Li 0.333 0.667 0.231
Li 0.667 0.333 0.769
Cu 0.000 0.000 0.500
F 0.159 0.318 0.347
F 0.159 0.841 0.347
F 0.318 0.159 0.653
F 0.333 0.667 0.995
F 0.667 0.333 0.005
F 0.682 0.841 0.347
F 0.841 0.159 0.653
F 0.841 0.682 0.653

Results
Energy relative to the elements, uncorrected, kJ/mol of atoms: -235

Total moment / μB/f.u.: 0.00 0.00 0.00 0.00 0.00 0.00 0.00 3.40 9.15 0.00 0.44 2.07